Entry 1:
A relaxed structure of ZrPt2Se, computed with PBEsol.

Unit cell a=3.392 b=4.288 c=9.132 alpha=90.00 beta=90.00 gamma=90.00
Space group Immm (No. 71)
Inequivalent atoms, fractional coordinates:
Zr: 0.000 0.000 0.000
Pt: 0.000 0.500 0.233
Se: 0.000 0.000 0.500

Output
Its density of states at the Fermi level is 4.22 states/eV/cell. The value obtained for the final energy is -7.45 eV per atom. The uncorrected formation energy is -0.74 eV per atom.

Entry 2:
A relaxed structure of ZrPtSe2, computed with PBEsol.

Unit cell a=6.563 b=6.563 c=6.563 alpha=90.00 beta=90.00 gamma=90.00
Space group Fm-3m (No. 225)
Inequivalent atoms, fractional coordinates:
Zr: 0.000 0.000 0.000
Pt: 0.000 0.000 0.500
Se: 0.250 0.250 0.250

Output
Its density of states at the Fermi level is 7.19 states/eV/cell. The value obtained for the final energy is -6.50 eV per atom. The uncorrected formation energy is -0.56 eV per atom. The value obtained for the polymorph energy (0 for the lowest one) is 0 kJ/mol of formula units.

Entry 3:
A relaxed structure of ZrPtSe2, computed with PBEsol.

Unit cell a=6.635 b=6.635 c=6.635 alpha=90.00 beta=90.00 gamma=90.00
Space group F-43m (No. 216)
Inequivalent atoms, fractional coordinates:
Zr: 0.000 0.000 0.000
Pt: 0.250 0.250 0.250
Se: 0.000 0.000 0.500
Se: 0.250 0.250 0.750

Output
Its density of states at the Fermi level is 9.50 states/eV/cell. The value obtained for the final energy is -6.33 eV per atom. The uncorrected formation energy is -0.39 eV per atom. The value obtained for the polymorph energy (0 for the lowest one) is 68 kJ/mol of formula units.

Entry 4:
A relaxed structure of ZrPtSe, computed with PBEsol.

Unit cell a=6.296 b=6.296 c=6.296 alpha=90.00 beta=90.00 gamma=90.00
Space group F-43m (No. 216)
Inequivalent atoms, fractional coordinates:
Zr: 0.000 0.000 0.000
Pt: 0.250 0.250 0.250
Se: 0.000 0.000 0.500

Output
Its density of states at the Fermi level is 12.27 states/eV/cell. The value obtained for the final energy is -7.21 eV per atom. The uncorrected formation energy is -0.57 eV per atom. The value obtained for the polymorph energy (0 for the lowest one) is 0 kJ/mol of formula units.

Among the records above, which one has the lowest density of states at the Fermi level?
ZrPt2Se

Copy entry 2 word for word.
A relaxed structure of ZrPtSe2, computed with PBEsol.

Unit cell a=6.563 b=6.563 c=6.563 alpha=90.00 beta=90.00 gamma=90.00
Space group Fm-3m (No. 225)
Inequivalent atoms, fractional coordinates:
Zr: 0.000 0.000 0.000
Pt: 0.000 0.000 0.500
Se: 0.250 0.250 0.250

Output
Its density of states at the Fermi level is 7.19 states/eV/cell. The value obtained for the final energy is -6.50 eV per atom. The uncorrected formation energy is -0.56 eV per atom. The value obtained for the polymorph energy (0 for the lowest one) is 0 kJ/mol of formula units.

Which formula does entry 1 have?
ZrPt2Se